(1)
# PBE-GGA CrHgRh2N, relaxed
data_CrHgRh2N
_chemical_formula_sum 'Cr1 Hg1 Rh2 N1'
_symmetry_space_group_name_H-M 'P 4/m m m'
_symmetry_Int_Tables_number 123
_symmetry_space_group_name_Hall '-P 4 2'
_cell_length_a 4.222
_cell_length_b 4.222
_cell_length_c 3.900
_cell_angle_alpha 90.00
_cell_angle_beta 90.00
_cell_angle_gamma 90.00
loop_
_atom_site_label
_atom_site_fract_x
_atom_site_fract_y
_atom_site_fract_z
Cr1 0.000 0.000 0.000
Hg1 0.500 0.500 0.000
Rh1 0.000 0.500 0.500
N1 0.000 0.000 0.500
# Spin magnetization ... 3.0 μB/cell
# E_form (uncorrected) ... 0.023 eV/atom
# Fermi-level density of states ... 3.35 states/eV/f.u.



(2)
# PBE-GGA CrHgS2N, relaxed
data_CrHgS2N
_chemical_formula_sum 'Cr1 Hg1 S2 N1'
_symmetry_space_group_name_H-M 'P 4/m m m'
_symmetry_Int_Tables_number 123
_symmetry_space_group_name_Hall '-P 4 2'
_cell_length_a 5.105
_cell_length_b 5.105
_cell_length_c 4.120
_cell_angle_alpha 90.00
_cell_angle_beta 90.00
_cell_angle_gamma 90.00
loop_
_atom_site_label
_atom_site_fract_x
_atom_site_fract_y
_atom_site_fract_z
Cr1 0.000 0.000 0.000
Hg1 0.500 0.500 0.500
S1 0.000 0.500 0.500
N1 0.500 0.500 0.000
# Spin magnetization ... 2.0 μB/cell
# E_form (uncorrected) ... 1.395 eV/atom
# Fermi-level density of states ... 2.18 states/eV/f.u.



(3)
# PBE-GGA CrHgS2N, relaxed
data_CrHgS2N
_chemical_formula_sum 'Cr1 Hg1 S2 N1'
_symmetry_space_group_name_H-M 'P 4/m m m'
_symmetry_Int_Tables_number 123
_symmetry_space_group_name_Hall '-P 4 2'
_cell_length_a 4.766
_cell_length_b 4.766
_cell_length_c 3.558
_cell_angle_alpha 90.00
_cell_angle_beta 90.00
_cell_angle_gamma 90.00
loop_
_atom_site_label
_atom_site_fract_x
_atom_site_fract_y
_atom_site_fract_z
Cr1 0.000 0.000 0.000
Hg1 0.500 0.500 0.500
S1 0.000 0.500 0.000
N1 0.000 0.000 0.500
# Spin magnetization ... 0.0 μB/cell
# E_form (uncorrected) ... 0.238 eV/atom
# Fermi-level density of states ... 2.94 states/eV/f.u.



(4)
# PBE-GGA Cr2HgSbN, relaxed
data_Cr2HgSbN
_chemical_formula_sum 'Cr2 Hg1 Sb1 N1'
_symmetry_space_group_name_H-M 'P 4/m m m'
_symmetry_Int_Tables_number 123
_symmetry_space_group_name_Hall '-P 4 2'
_cell_length_a 5.345
_cell_length_b 5.345
_cell_length_c 3.931
_cell_angle_alpha 90.00
_cell_angle_beta 90.00
_cell_angle_gamma 90.00
loop_
_atom_site_label
_atom_site_fract_x
_atom_site_fract_y
_atom_site_fract_z
Cr1 0.000 0.500 0.000
Hg1 0.000 0.000 0.000
Sb1 0.500 0.500 0.500
N1 0.000 0.000 0.500
# Spin magnetization ... 7.9 μB/cell
# E_form (uncorrected) ... 1.527 eV/atom
# Fermi-level density of states ... 2.35 states/eV/f.u.